Record 1
11
Lattice="3.568 0.000 0.219 1.777 3.094 0.219 -0.179 -0.103 32.101" Properties=species:S:1:pos:R:3 comment="Tb6Sm3Dy2 | Alexandria via LeMat-Bulk | PBE | optimized geometry" e_form_ev_per_fu=0.2 pbc="T T T"
Tb 4.806 2.782 9.224
Tb 0.361 0.209 23.315
Tb 4.277 2.475 17.860
Tb 0.890 0.515 14.679
Tb 3.384 1.959 3.220
Tb 1.783 1.032 29.319
Sm 0.000 0.000 0.000
Sm 3.744 2.167 26.537
Sm 1.423 0.823 6.001
Dy 2.848 1.649 11.952
Dy 2.319 1.342 20.587

Record 2
5
Lattice="-5.570 1.380 3.479 -3.424 -4.398 -3.737 1.500 -4.838 4.321" Properties=species:S:1:pos:R:3 comment="RbNbSbI2 | Alexandria via LeMat-Bulk | PBE | optimized geometry" e_form_raw_ev_per_atom=1.296 pbc="T T T"
I -1.712 -2.199 -1.868
I -2.785 0.690 1.739
Sb 0.750 -2.419 2.160
Nb -3.747 -3.928 2.032
Rb 0.000 0.000 0.000

Record 3
5
Lattice="-1.301 -4.278 1.114 4.377 -1.083 0.951 -0.621 1.326 4.369" Properties=species:S:1:pos:R:3 comment="TiGaP3 | Alexandria via LeMat-Bulk | PBE | optimized geometry" e_form_ev_per_fu=4.3 pbc="T T T"
P 2.189 -0.542 0.475
P -0.310 0.663 2.185
P -0.650 -2.139 0.557
Ga 0.000 0.000 0.000
Ti 1.228 -2.018 3.217

Calculated total moment, 0.000; 1.367; 0.000 μB per atom (same order as the records).